Li5Mg: relaxed, PBE.

Output
- ΔH_f (0 K): 93 meV per atom
- Raw total energy: -10.61 eV for the cell shown
- Fermi-level density of states: 1.944 states/eV/cell
- Total moment: 0.00 Bohr magnetons per cell
- Offset from the most stable computed form: 0.112 eV per atom

CIF file:
```
data_Li5Mg
_chemical_formula_sum 'Li5 Mg1'
_symmetry_space_group_name_H-M 'P 6/m m m'
_symmetry_Int_Tables_number 191
_symmetry_space_group_name_Hall '-P 6 2'
_cell_length_a 5.5106
_cell_length_b 5.5106
_cell_length_c 4.8200
_cell_angle_alpha 90.00
_cell_angle_beta 90.00
_cell_angle_gamma 120.00
loop_
_atom_site_label
_atom_site_fract_x
_atom_site_fract_y
_atom_site_fract_z
Li1 0.0000 0.5000 0.0000
Li2 0.3333 0.6667 0.5000
Mg1 0.0000 0.0000 0.5000
```